Entry 1:
NpGaGeRh: relaxed, PBE-GGA.

Cell and atoms, written as CIF:
```
data_NpGaGeRh
_chemical_formula_sum 'Np4 Ga4 Ge4 Rh4'
_cell_length_a 6.6147
_cell_length_b 6.6147
_cell_length_c 6.6147
_cell_angle_alpha 90.00
_cell_angle_beta 90.00
_cell_angle_gamma 90.00
_space_group_name_H-M_alt 'F -4 3 m'
_space_group_IT_number 216
_space_group_name_Hall 'F -4 2 3'
loop_
_atom_site_label
_atom_site_type_symbol
_atom_site_fract_x
_atom_site_fract_y
_atom_site_fract_z
Np1 Np 0.0000 0.0000 0.0000
Ga1 Ga 0.2500 0.2500 0.7500
Ge1 Ge 0.2500 0.2500 0.2500
Rh1 Rh 0.0000 0.0000 0.5000
```

***

Entry 2:
HoZn9Ag2: relaxed, PBE-GGA.

Computed properties:
* polymorph energy (0 for the lowest one): 0.063 eV per atom

Cell and atoms, written as CIF:
```
data_HoZn9Ag2
_chemical_formula_sum 'Ho1 Zn9 Ag2'
_cell_length_a 8.7994
_cell_length_b 8.7994
_cell_length_c 3.0319
_cell_angle_alpha 90.00
_cell_angle_beta 90.00
_cell_angle_gamma 120.00
_space_group_name_H-M_alt 'P 6/m m m'
_space_group_IT_number 191
_space_group_name_Hall '-P 6 2'
loop_
_atom_site_label
_atom_site_type_symbol
_atom_site_fract_x
_atom_site_fract_y
_atom_site_fract_z
Ho1 Ho 0.0000 0.0000 0.0000
Zn1 Zn 0.0000 0.5000 0.0000
Zn2 Zn 0.1788 0.3575 0.5000
Ag1 Ag 0.3333 0.6667 0.0000
```

***

Entry 3:
Ho12Ga6Ir: relaxed, PBE-GGA.

Cell and atoms, written as CIF:
```
data_Ho12Ga6Ir
_chemical_formula_sum 'Ho36 Ga18 Ir3'
_cell_length_a 12.7629
_cell_length_b 12.7629
_cell_length_c 11.8481
_cell_angle_alpha 90.00
_cell_angle_beta 90.00
_cell_angle_gamma 120.00
_space_group_name_H-M_alt 'R -3'
_space_group_IT_number 148
_space_group_name_Hall '-R 3'
loop_
_atom_site_label
_atom_site_type_symbol
_atom_site_fract_x
_atom_site_fract_y
_atom_site_fract_z
Ho1 Ho 0.0359 0.2115 0.3932
Ho2 Ho 0.0444 0.2022 0.8844
Ga1 Ga 0.0503 0.2674 0.6470
Ir1 Ir 0.0000 0.0000 0.0000
```

***

Entry 4:
Mg8Ga2Cu: relaxed, PBE-GGA.

Cell and atoms, written as CIF:
```
data_Mg8Ga2Cu
_chemical_formula_sum 'Mg16 Ga4 Cu2'
_cell_length_a 15.5964
_cell_length_b 4.6502
_cell_length_c 6.6480
_cell_angle_alpha 90.00
_cell_angle_beta 112.33
_cell_angle_gamma 90.00
_space_group_name_H-M_alt 'C 1 2/m 1'
_space_group_IT_number 12
loop_
_space_group_symop_operation_xyz
'x,y,z'
'-x,-y,-z'
'-x,y,-z'
'x,-y,z'
'x+1/2,y+1/2,z'
'-x+1/2,-y+1/2,-z'
'-x+1/2,y+1/2,-z'
'x+1/2,-y+1/2,z'
loop_
_atom_site_label
_atom_site_type_symbol
_atom_site_fract_x
_atom_site_fract_y
_atom_site_fract_z
Mg1 Mg 0.0209 0.0000 0.2902
Mg2 Mg 0.0986 0.5000 0.9320
Mg3 Mg 0.1606 0.5000 0.4328
Mg4 Mg 0.1894 0.0000 0.7656
Ga1 Ga 0.1801 0.0000 0.1804
Cu1 Cu 0.0000 0.5000 0.5000
```

***

Entry 5:
OsRh2Au: relaxed, PBE-GGA.

Computed properties:
* polymorph energy (0 for the lowest one): 0.379 eV per atom

Cell and atoms, written as CIF:
```
data_OsRh2Au
_chemical_formula_sum 'Os1 Rh2 Au1'
_cell_length_a 4.7346
_cell_length_b 4.7346
_cell_length_c 2.7521
_cell_angle_alpha 90.00
_cell_angle_beta 90.00
_cell_angle_gamma 90.00
_space_group_name_H-M_alt 'P 4/m m m'
_space_group_IT_number 123
_space_group_name_Hall '-P 4 2'
loop_
_atom_site_label
_atom_site_type_symbol
_atom_site_fract_x
_atom_site_fract_y
_atom_site_fract_z
Os1 Os 0.0000 0.0000 0.0000
Rh1 Rh 0.0000 0.5000 0.5000
Au1 Au 0.5000 0.5000 0.0000
```

***

Formation energy: -59 -83 -524 -80 171 (kJ/mol of formula units)